Record 1
Here is an optimized crystal structure of SrMgP2O7 from Alexandria via LeMat-Bulk. Energies are from PBEsol.

Output
uncorrected formation energy = -2.701 eV per atom
magnetization = 0.00 μB/f.u.

Lattice parameters (Å, degrees): 5.3088 8.2976 12.7212 90.00 90.74 90.00
Positions (direct):
O 0.1676 0.4021 0.3996
O 0.5974 0.3319 0.4758
O 0.1967 0.3077 0.5888
O 0.6967 0.1923 0.0888
O 0.5435 0.8848 0.7362
P 0.1858 0.7986 0.0201
O 0.7697 0.3879 0.9470
O 0.7303 0.8879 0.5530
Sr 0.7866 0.3368 0.2781
O 0.4928 0.4373 0.7860
O 0.3209 0.8567 0.3455
O 0.2697 0.1121 0.4470
O 0.8209 0.6433 0.8455
O 0.6676 0.0979 0.8996
Mg 0.6762 0.8522 0.8922
O 0.6791 0.1433 0.6545
O 0.3324 0.9021 0.1004
P 0.2445 0.5336 0.1683
O 0.5072 0.5627 0.2140
P 0.8142 0.2014 0.9799
Sr 0.7134 0.8368 0.2219
Sr 0.2134 0.6632 0.7219
O 0.4565 0.1152 0.2638
O 0.9565 0.3848 0.7638
P 0.6858 0.7014 0.5201
P 0.7555 0.4664 0.8317
O 0.4026 0.6681 0.5242
O 0.1791 0.3567 0.1545
P 0.2555 0.0336 0.3317
Mg 0.1762 0.6478 0.3922
O 0.0974 0.1681 0.9758
Mg 0.8238 0.3522 0.6078
O 0.0072 0.9373 0.7140
O 0.2303 0.6121 0.0530
Mg 0.3238 0.1478 0.1078
O 0.9026 0.8319 0.0242
O 0.9928 0.0627 0.2860
P 0.3142 0.2986 0.4799
Sr 0.2866 0.1632 0.7781
O 0.0435 0.6152 0.2362
P 0.7445 0.9664 0.6683
O 0.3033 0.8077 0.9112
O 0.8033 0.6923 0.4112
O 0.8324 0.5979 0.6004

---

Record 2
Here is an optimized crystal structure of CsSb2TeI from Alexandria via LeMat-Bulk. Energies are from PBEsol.

Output
uncorrected formation energy = 0.077 eV per atom
magnetization = 0.19 μB/f.u.

Lattice parameters (Å, degrees): 5.7270 5.7270 6.5150 90.00 90.00 90.00
Positions (direct):
Cs 0.5000 0.5000 0.5000
Sb 0.5000 0.0000 0.0000
Te 0.0000 0.0000 0.0000
I 0.0000 0.0000 0.5000
Sb 0.0000 0.5000 0.0000

---

Question: The highest magnetization belongs to which entry?
Answer: CsSb2TeI